(1)
This record from the Alexandria database describes crystalline DyTmIn2 at its relaxed geometry. The functional is GGA-PBE.

a = 3.735 Å, b = 3.735 Å, c = 7.494 Å
α = 90.00°, β = 90.00°, γ = 90.00°
Fractional coordinates of all 4 atoms:
Dy 0.000 0.000 0.000
Tm 0.000 0.000 0.500
In 0.500 0.500 0.254
In 0.500 0.500 0.746

**Formation energy**: -42.9 kJ per mole of atoms
**SG**: P4/mmm, No. 123
**ρ**: 8.9 g cm⁻³
**Magnetic moment**: 0.0 μB/f.u.

***

(2)
This record from the Alexandria database describes crystalline DyTm4In at its relaxed geometry. The functional is GGA-PBE.

a = 7.668 Å, b = 7.668 Å, c = 9.757 Å
α = 90.00°, β = 90.00°, γ = 143.24°
Fractional coordinates of all 12 atoms:
Dy 0.167 0.833 0.500
Dy 0.833 0.167 0.000
Tm 0.003 0.997 0.757
Tm 0.166 0.834 0.013
Tm 0.328 0.672 0.757
Tm 0.500 0.500 0.007
Tm 0.500 0.500 0.507
Tm 0.672 0.328 0.257
Tm 0.834 0.166 0.513
Tm 0.997 0.003 0.257
In 0.335 0.665 0.257
In 0.665 0.335 0.757

**Formation energy**: -11.5 kJ per mole of atoms
**Energy above the most stable polymorph in this dataset**: 29 meV per atom
**SG**: Cmc2_1, No. 36
**ρ**: 9.2 g cm⁻³
**Magnetic moment**: 0.0 μB/f.u.

***

| no. | calculated total energy (Ry/atom) |
| --- | --- |
| 1 | -0.3001 |
| 2 | -0.3178 |